1 | Computed, not measured: an optimized crystal structure of KNaN at the PBE level of DFT.

Cell lengths 3.9361, 3.6685, 13.7585 Å; angles 97.56, 112.35, 90.24 degrees
With the nearest neighbours (Å) after each atom.
Fractional coordinates of all 6 atoms:
Na: 0.2694 0.3459 0.1841  8 Na 3.67-3.94
N: 0.4966 0.1248 0.7506  1 N 1.20
N: 0.8062 0.1605 0.8161  1 N 1.20
K: 0.8759 0.5725 0.6421  6 N 2.95-3.10
Na: 0.0349 0.9453 0.3829  8 Na 3.67-3.94
K: 0.4267 0.7132 0.9246  6 N 2.95-3.10

Summary:
D(E_F) in states/eV per cell: 3.54
Space group: P1 (1)
Volume in Å³/f.u.: 90.91

2 | Computed, not measured: an optimized crystal structure of KNaN at the PBE level of DFT.

Cell lengths 6.6617, 7.8342, 7.2613 Å; angles 126.45, 134.31, 31.73 degrees
With the nearest neighbours (Å) after each atom.
Fractional coordinates of all 6 atoms:
N: 0.1767 0.7502 0.1780  3 Na 2.42-2.47
K: 0.5550 0.7500 0.7341  4 N 2.90-2.98
Na: 0.8814 0.2501 0.1971  3 N 2.42-2.47
Na: 0.1186 0.7499 0.8029  3 N 2.42-2.47
N: 0.8233 0.2498 0.8220  3 Na 2.42-2.47
K: 0.4450 0.2500 0.2659  4 N 2.90-2.98

Summary:
D(E_F) in states/eV per cell: 2.65
Space group: P2_1/m (11)
Volume in Å³/f.u.: 71.31

Of them, 1 has the highest stability.

1 | Computed, not measured: an optimized crystal structure of KNaS2N at the PBE level of DFT.

Cell lengths 5.8059, 5.8059, 5.1909 Å; angles 90.00, 90.00, 90.00 degrees
With the nearest neighbours (Å) after each atom.
Fractional coordinates of all 5 atoms:
K: 0.0000 0.0000 0.0000  2 N 2.60, 4 S 2.90
S: 0.5000 0.0000 0.0000  2 K 2.90
N: 0.0000 0.0000 0.5000  2 K 2.60
Na: 0.5000 0.5000 0.5000  8 S 3.89, 4 N 4.11
S: 0.0000 0.5000 0.0000  2 K 2.90

Summary:
D(E_F) in states/eV per cell: 4.50
Space group: P4/mmm (123)
Volume in Å³/f.u.: 174.98

2 | Computed, not measured: an optimized crystal structure of KNaS2N at the PBE level of DFT.

Cell lengths 5.2950, 5.2950, 4.8699 Å; angles 90.00, 90.00, 90.00 degrees
With the nearest neighbours (Å) after each atom.
Fractional coordinates of all 5 atoms:
Na: 0.0000 0.0000 0.0000  2 N 2.43, 4 S 2.65
S: 0.0000 0.5000 0.0000  2 Na 2.65
K: 0.5000 0.5000 0.5000  8 S 3.60, 4 N 3.74
S: 0.5000 0.0000 0.0000  2 Na 2.65
N: 0.0000 0.0000 0.5000  2 Na 2.43

Summary:
D(E_F) in states/eV per cell: 3.67
Space group: P4/mmm (123)
Volume in Å³/f.u.: 136.54

Of them, 2 has the highest stability.

1 | Computed, not measured: an optimized crystal structure of KNaSN2 at the PBE level of DFT.

Cell lengths 5.1198, 5.1198, 6.0098 Å; angles 90.00, 90.00, 90.00 degrees
With the nearest neighbours (Å) after each atom.
Fractional coordinates of all 5 atoms:
S: 0.0000 0.0000 0.5000  2 K 3.00
N: 0.0000 0.5000 0.0000  2 K 2.56
K: 0.0000 0.0000 0.0000  4 N 2.56
Na: 0.5000 0.5000 0.5000  4 S 3.62, 8 N 3.95
N: 0.5000 0.0000 0.0000  2 K 2.56

Summary:
D(E_F) in states/eV per cell: 3.89
Space group: P4/mmm (123)
Volume in Å³/f.u.: 157.53

2 | Computed, not measured: an optimized crystal structure of KNaSN2 at the PBE level of DFT.

Cell lengths 4.8504, 4.8504, 5.3022 Å; angles 90.00, 90.00, 90.00 degrees
With the nearest neighbours (Å) after each atom.
Fractional coordinates of all 5 atoms:
K: 0.5000 0.5000 0.5000  4 S 3.43, 8 N 3.59
N: 0.0000 0.5000 0.0000  2 Na 2.43
S: 0.0000 0.0000 0.5000  2 Na 2.65
Na: 0.0000 0.0000 0.0000  4 N 2.43, 2 S 2.65
N: 0.5000 0.0000 0.0000  2 Na 2.43

Summary:
D(E_F) in states/eV per cell: 1.72
Space group: P4/mmm (123)
Volume in Å³/f.u.: 124.74

Of them, 2 has the highest stability.

1 | Computed, not measured: an optimized crystal structure of KNaSeN2 at the PBE level of DFT.

Cell lengths 5.1333, 5.1333, 6.2874 Å; angles 90.00, 90.00, 90.00 degrees
With the nearest neighbours (Å) after each atom.
Fractional coordinates of all 5 atoms:
N: 0.5000 0.0000 0.0000  2 K 2.57
Se: 0.0000 0.0000 0.5000  2 K 3.14
Na: 0.5000 0.5000 0.5000  4 Se 3.63, 8 N 4.06
N: 0.0000 0.5000 0.0000  2 K 2.57
K: 0.0000 0.0000 0.0000  4 N 2.57

Summary:
D(E_F) in states/eV per cell: 3.12
Space group: P4/mmm (123)
Volume in Å³/f.u.: 165.67

2 | Computed, not measured: an optimized crystal structure of KNaSeN2 at the PBE level of DFT.

Cell lengths 4.9138, 4.9138, 5.5370 Å; angles 90.00, 90.00, 90.00 degrees
With the nearest neighbours (Å) after each atom.
Fractional coordinates of all 5 atoms:
Na: 0.0000 0.0000 0.0000  4 N 2.46
Se: 0.0000 0.0000 0.5000  2 Na 2.77
N: 0.0000 0.5000 0.0000  2 Na 2.46
N: 0.5000 0.0000 0.0000  2 Na 2.46
K: 0.5000 0.5000 0.5000  4 Se 3.47, 8 N 3.70

Summary:
D(E_F) in states/eV per cell: 1.65
Space group: P4/mmm (123)
Volume in Å³/f.u.: 133.69

Of them, 2 has the highest stability.

1 | Computed, not measured: an optimized crystal structure of KNaSe2N at the PBE level of DFT.

Cell lengths 5.3248, 5.3248, 5.0403 Å; angles 90.00, 90.00, 90.00 degrees
With the nearest neighbours (Å) after each atom.
Fractional coordinates of all 5 atoms:
Se: 0.5000 0.0000 0.0000  2 Na 2.66
Se: 0.0000 0.5000 0.0000  2 Na 2.66
Na: 0.0000 0.0000 0.0000  2 N 2.52, 4 Se 2.66
N: 0.0000 0.0000 0.5000  2 Na 2.52
K: 0.5000 0.5000 0.5000  8 Se 3.67, 4 N 3.77

Summary:
D(E_F) in states/eV per cell: 2.89
Space group: P4/mmm (123)
Volume in Å³/f.u.: 142.91

2 | Computed, not measured: an optimized crystal structure of KNaSe2N at the PBE level of DFT.

Cell lengths 6.0521, 6.0521, 5.1785 Å; angles 90.00, 90.00, 90.00 degrees
With the nearest neighbours (Å) after each atom.
Fractional coordinates of all 5 atoms:
N: 0.0000 0.0000 0.5000  2 K 2.59
Na: 0.5000 0.5000 0.5000  8 Se 3.98, 4 N 4.28
Se: 0.5000 0.0000 0.0000  2 K 3.03
K: 0.0000 0.0000 0.0000  2 N 2.59
Se: 0.0000 0.5000 0.0000  2 K 3.03

Summary:
D(E_F) in states/eV per cell: 4.33
Space group: P4/mmm (123)
Volume in Å³/f.u.: 189.67

Of them, 1 has the highest stability.

1 | Computed, not measured: an optimized crystal structure of KNaTeN2 at the PBE level of DFT.

Cell lengths 5.0482, 5.0482, 5.9520 Å; angles 90.00, 90.00, 90.00 degrees
With the nearest neighbours (Å) after each atom.
Fractional coordinates of all 5 atoms:
Te: 0.0000 0.0000 0.5000  2 Na 2.98
Na: 0.0000 0.0000 0.0000  4 N 2.52
K: 0.5000 0.5000 0.5000  4 Te 3.57, 8 N 3.90
N: 0.5000 0.0000 0.0000  2 Na 2.52
N: 0.0000 0.5000 0.0000  2 Na 2.52

Summary:
D(E_F) in states/eV per cell: 2.17
Space group: P4/mmm (123)
Volume in Å³/f.u.: 151.68

2 | Computed, not measured: an optimized crystal structure of KNaTeN2 at the PBE level of DFT.

Cell lengths 5.1725, 5.1725, 6.7650 Å; angles 90.00, 90.00, 90.00 degrees
With the nearest neighbours (Å) after each atom.
Fractional coordinates of all 5 atoms:
Na: 0.5000 0.5000 0.5000  4 Te 3.66
Te: 0.0000 0.0000 0.5000  2 K 3.38, 4 Na 3.66
N: 0.0000 0.5000 0.0000  2 K 2.59
N: 0.5000 0.0000 0.0000  2 K 2.59
K: 0.0000 0.0000 0.0000  4 N 2.59

Summary:
D(E_F) in states/eV per cell: 2.72
Space group: P4/mmm (123)
Volume in Å³/f.u.: 181.00

Of them, 1 has the highest stability.

1 | Computed, not measured: an optimized crystal structure of KNb3N at the PBE level of DFT.

Cell lengths 4.4490, 4.4490, 4.4490 Å; angles 90.00, 90.00, 90.00 degrees
With the nearest neighbours (Å) after each atom.
Fractional coordinates of all 5 atoms:
Nb: 0.0000 0.5000 0.0000  2 N 2.22
N: 0.0000 0.0000 0.0000  6 Nb 2.22
Nb: 0.5000 0.0000 0.0000  2 N 2.22
K: 0.5000 0.5000 0.5000  12 Nb 3.15
Nb: 0.0000 0.0000 0.5000  2 N 2.22

Summary:
D(E_F) in states/eV per cell: 7.93
Space group: Pm-3m (221)
Volume in Å³/f.u.: 88.06

2 | Computed, not measured: an optimized crystal structure of KNb3N at the PBE level of DFT.

Cell lengths 4.5668, 4.5668, 4.5668 Å; angles 90.00, 90.00, 90.00 degrees
With the nearest neighbours (Å) after each atom.
Fractional coordinates of all 5 atoms:
Nb: 0.0000 0.5000 0.0000  2 K 2.28
Nb: 0.0000 0.0000 0.5000  2 K 2.28
Nb: 0.5000 0.0000 0.0000  2 K 2.28
N: 0.5000 0.5000 0.5000  12 Nb 3.23
K: 0.0000 0.0000 0.0000  6 Nb 2.28

Summary:
D(E_F) in states/eV per cell: 3.54
Space group: Pm-3m (221)
Volume in Å³/f.u.: 95.25

Of them, 1 has the highest stability.

1 | Computed, not measured: an optimized crystal structure of KNbS2N at the PBE level of DFT.

Cell lengths 4.9776, 4.9776, 4.0898 Å; angles 90.00, 90.00, 90.00 degrees
With the nearest neighbours (Å) after each atom.
Fractional coordinates of all 5 atoms:
K: 0.5000 0.5000 0.5000  8 S 3.22, 4 N 3.52
S: 0.5000 0.0000 0.0000  2 Nb 2.49
N: 0.0000 0.0000 0.5000  2 Nb 2.04
S: 0.0000 0.5000 0.0000  2 Nb 2.49
Nb: 0.0000 0.0000 0.0000  2 N 2.04

Summary:
D(E_F) in states/eV per cell: 2.33
Space group: P4/mmm (123)
Volume in Å³/f.u.: 101.33

2 | Computed, not measured: an optimized crystal structure of KNbS2N at the PBE level of DFT.

Cell lengths 5.0672, 5.0672, 3.8829 Å; angles 90.00, 90.00, 90.00 degrees
With the nearest neighbours (Å) after each atom.
Fractional coordinates of all 5 atoms:
S: 0.5000 0.0000 0.0000  2 K 2.53
Nb: 0.5000 0.5000 0.5000  8 S 3.19
K: 0.0000 0.0000 0.0000  2 N 1.94
S: 0.0000 0.5000 0.0000  2 K 2.53
N: 0.0000 0.0000 0.5000  2 K 1.94

Summary:
D(E_F) in states/eV per cell: 5.61
Space group: P4/mmm (123)
Volume in Å³/f.u.: 99.70

Of them, 1 has the highest stability.